Entry 1:
DFT (PBE) results for crystalline TcOs2S at its relaxed geometry.

Properties
Space group: I-42d (122)
Energy in eV/cell: -67.88

The structure in extended XYZ format:
```
8
Lattice="-2.7232 2.7232 5.2454 2.7232 -2.7232 5.2454 2.7232 2.7232 -5.2454" Properties=species:S:1:pos:R:3 pbc="T T T"
Tc 0.0000 0.0000 0.0000
Tc 0.0000 2.7232 2.6227
Os 1.3616 -1.2264 3.9340
Os 1.4968 1.3616 1.3113
Os 1.3616 3.9497 -1.3113
Os 1.2264 1.3616 6.5567
S 2.7232 0.0000 2.6227
S 0.0000 0.0000 5.2454
```

---

Entry 2:
DFT (PBE) results for crystalline TcOsS3 at its relaxed geometry.

Properties
Space group: Pm-3m (221)
Energy in eV/cell: -28.73
Energy above the lowest structure with this stoichiometry in meV per atom: 0

The structure in extended XYZ format:
```
5
Lattice="4.6317 0.0000 0.0000 0.0000 4.6317 0.0000 0.0000 0.0000 4.6317" Properties=species:S:1:pos:R:3 pbc="T T T"
Tc 0.0000 0.0000 0.0000
Os 2.3159 2.3159 2.3159
S 0.0000 2.3159 2.3159
S 2.3159 0.0000 2.3159
S 2.3159 2.3159 0.0000
```

---

Entry 3:
DFT (PBE) results for crystalline TcOsS2 at its relaxed geometry.

Properties
Space group: R-3m (166)
Energy in eV/cell: -29.71
Energy above the lowest structure with this stoichiometry in meV per atom: 0

The structure in extended XYZ format:
```
4
Lattice="1.4907 0.8607 7.8064 -1.4907 0.8607 7.8064 0.0000 -1.7214 7.8064" Properties=species:S:1:pos:R:3 pbc="T T T"
Tc 0.0000 0.0000 0.0000
Os 0.0000 0.0000 11.7095
S 0.0000 0.0000 9.4788
S 0.0000 0.0000 13.9402
```

---

Entry 4:
DFT (PBE) results for crystalline TcTeOs2S at its relaxed geometry.

Properties
Space group: P4/mmm (123)
Energy in eV/cell: -27.77

The structure in extended XYZ format:
```
5
Lattice="4.8278 0.0000 0.0000 0.0000 4.8278 0.0000 0.0000 0.0000 5.0271" Properties=species:S:1:pos:R:3 pbc="T T T"
Tc 0.0000 0.0000 0.0000
Te 2.4139 2.4139 2.5135
Os 0.0000 2.4139 2.5135
Os 2.4139 0.0000 2.5135
S 2.4139 2.4139 0.0000
```

---

Entry 5:
DFT (PBE) results for crystalline Th4TcOsS2 at its relaxed geometry.

Properties
Space group: P2/m (10)
Energy in eV/cell: -67.04

The structure in extended XYZ format:
```
8
Lattice="7.0660 0.0000 0.0000 0.0000 4.0771 0.0000 -2.3495 0.0000 7.1188" Properties=species:S:1:pos:R:3 pbc="T T T"
Th 1.1658 0.0000 1.6102
Th -0.0060 2.0386 5.5259
Th 4.7225 2.0386 1.5929
Th 3.5507 0.0000 5.5086
Tc 0.0000 2.0386 0.0000
Os 3.5330 0.0000 0.0000
S -1.1748 0.0000 3.5594
S 2.3583 2.0386 3.5594
```

---

Entry 6:
DFT (PBE) results for crystalline Th8TcOs3S4 at its relaxed geometry.

Properties
Space group: R-3m (166)
Energy in eV/cell: -135.90

The structure in extended XYZ format:
```
16
Lattice="4.0782 2.3545 7.1405 -4.0782 2.3545 7.1405 0.0000 -4.7091 7.1405" Properties=species:S:1:pos:R:3 pbc="T T T"
Th 0.0000 0.0000 5.1558
Th -2.0297 -1.1719 12.3143
Th 0.0000 -2.3437 9.1072
Th -2.0297 1.1719 9.1072
Th 2.0297 -1.1719 12.3143
Th 0.0000 2.3437 12.3143
Th 2.0297 1.1719 9.1072
Th 0.0000 0.0000 16.2657
Tc 0.0000 0.0000 10.7108
Os -4.0782 0.0000 10.7107
Os -2.0391 1.1773 3.5702
Os 2.0391 1.1773 3.5703
S 0.0000 0.0000 0.0000
S -2.0391 -1.1773 7.1405
S -2.0391 1.1773 14.2810
S 0.0000 2.3545 7.1405
```

---

Number 1: V 155.6 Å³/cell, formation energy (no corrections) 0.7527 eV per atom. Number 2: V 99.4 Å³/cell, formation energy (no corrections) 1.0489 eV per atom. Number 3: V 60.1 Å³/cell, formation energy (no corrections) 0.0340 eV per atom. Number 4: V 117.2 Å³/cell, formation energy (no corrections) 2.4648 eV per atom. Number 5: V 205.1 Å³/cell, formation energy (no corrections) -0.9390 eV per atom. Number 6: V 411.4 Å³/cell, formation energy (no corrections) -0.9986 eV per atom.